Here is crystalline TiTcCl3 at its relaxed geometry from the Alexandria database. Energies are from GGA-PBE.

a b c (Å): 4.8538 4.8538 4.8538
angles (deg): 90.00 90.00 90.00
Closest atoms and distances in Å follow each position.
Fractional coordinates of all 5 atoms:
Cl 0.0000 0.0000 0.5000  2 Tc 2.43
Cl 0.0000 0.5000 0.0000  2 Tc 2.43
Cl 0.5000 0.0000 0.0000  2 Tc 2.43
Ti 0.5000 0.5000 0.5000  12 Cl 3.43
Tc 0.0000 0.0000 0.0000  6 Cl 2.43

Output
symmetry: Pm-3m (221)
DFT total energy: -4.51 eV/atom
magnetic moment: 0.4 μB/f.u.
DOS(E_F): 1.555 states/eV per atom
crystal system: cubic
E above lowest polymorph: 0.247 eV/atom